[1]
DFT (PBE) results for a relaxed structure of Li2Ag3Hg2.

Cell and atoms, written as extended XYZ:
```
14
Lattice="6.6726 0.0000 -2.3591 -3.3363 5.7786 -2.3591 0.0000 0.0000 7.0773" Properties=species:S:1:pos:R:3 pbc="T T T"
Ag 4.2449 1.4447 1.2323
Ag 2.4649 1.3801 3.5914
Ag 2.4276 4.3340 3.4859
Ag -0.7968 1.5092 1.1268
Ag -1.6309 5.7140 -1.2323
Ag 3.2990 2.9539 -1.1268
Hg 0.5667 4.7970 0.4008
Hg 0.0000 0.0000 5.8751
Hg -1.1014 3.8709 2.7599
Hg 0.5346 2.8893 -1.9584
Li 0.0000 0.0000 3.2551
Li 4.7371 2.8893 -3.4442
Li 1.8018 2.6578 1.2741
Li 3.4699 0.2315 -1.0850
```

Values from the calculation:
The magnetic moment is 0.0 μB/f.u. The formation energy comes out at -0.50 eV/f.u. The polymorph energy (0 for the lowest one) is 0.110 eV/atom.

[2]
DFT (PBE) results for a relaxed structure of Li4Ag3Hg.

Cell and atoms, written as extended XYZ:
```
8
Lattice="-0.1553 0.8904 2.9711 -1.9655 -4.2421 1.1686 7.6254 -6.4954 0.7223" Properties=species:S:1:pos:R:3 pbc="T T T"
Li 2.2257 -5.7970 3.4768
Li 3.2789 -4.0501 1.3852
Li 4.7495 -6.7382 2.2678
Li 0.7551 -3.1088 2.5942
Ag 5.3835 -4.0438 3.1164
Ag -0.9827 -2.1211 0.5843
Ag 0.1211 -5.8033 1.7456
Hg -0.0777 0.4452 1.4855
```

Values from the calculation:
The magnetic moment is 0.0 μB/f.u. The formation energy comes out at -0.96 eV/f.u. The polymorph energy (0 for the lowest one) is 0.130 eV/atom.

Please write out number 2 again, unchanged.
DFT (PBE) results for a relaxed structure of Li4Ag3Hg.

Cell and atoms, written as extended XYZ:
```
8
Lattice="-0.1553 0.8904 2.9711 -1.9655 -4.2421 1.1686 7.6254 -6.4954 0.7223" Properties=species:S:1:pos:R:3 pbc="T T T"
Li 2.2257 -5.7970 3.4768
Li 3.2789 -4.0501 1.3852
Li 4.7495 -6.7382 2.2678
Li 0.7551 -3.1088 2.5942
Ag 5.3835 -4.0438 3.1164
Ag -0.9827 -2.1211 0.5843
Ag 0.1211 -5.8033 1.7456
Hg -0.0777 0.4452 1.4855
```

Values from the calculation:
The magnetic moment is 0.0 μB/f.u. The formation energy comes out at -0.96 eV/f.u. The polymorph energy (0 for the lowest one) is 0.130 eV/atom.